1.
VASP calculation (PBE) on SbAsSeN2 after structural relaxation.

energy relative to the lowest polymorph listed for this composition: 0 kJ/mol of formula units
crystal system: tetragonal

The structure in POSCAR format:
```
SbAsSeN2
1.0
3.971 0.000 0.000
0.000 3.971 0.000
0.000 0.000 5.098
Sb As Se N
1 1 1 2
Cartesian
1.986 1.986 2.549
0.000 0.000 0.000
0.000 0.000 2.549
0.000 1.986 0.000
1.986 0.000 0.000
```

2.
VASP calculation (PBE) on SbAsSeN2 after structural relaxation.

energy relative to the lowest polymorph listed for this composition: 57 kJ/mol of formula units
crystal system: tetragonal

The structure in POSCAR format:
```
SbAsSeN2
1.0
4.048 0.000 0.000
0.000 4.048 0.000
0.000 0.000 5.537
Sb As Se N
1 1 1 2
Cartesian
0.000 0.000 0.000
2.024 2.024 2.768
0.000 0.000 2.768
0.000 2.024 0.000
2.024 0.000 0.000
```

3.
VASP calculation (PBE) on SiSbAs2N after structural relaxation.

crystal system: tetragonal

The structure in POSCAR format:
```
SiSbAs2N
1.0
5.341 0.000 0.000
0.000 3.904 0.000
0.000 0.000 5.341
Sb As Si N
1 2 1 1
Cartesian
0.000 0.000 0.000
0.000 0.000 2.671
2.671 0.000 0.000
2.671 1.952 2.671
0.000 1.952 0.000
```

Number 1: formation energy without anion corrections 1.220 eV per atom, magnetization 0.42 μB per formula unit, electronic total energy -4.5614 eV per atom. Number 2: formation energy without anion corrections 1.339 eV per atom, magnetization 0.85 μB per formula unit, electronic total energy -4.4427 eV per atom. Number 3: formation energy without anion corrections 1.314 eV per atom, magnetization 0.27 μB per formula unit, electronic total energy -4.1197 eV per atom.